A) A relaxed LiHo2Te crystal, computed with PBE.

POSCAR file:
```
LiHo2Te
1.0
-2.416 -2.903 1.045
-0.783 -0.707 -3.774
5.047 -4.288 -0.243
Ho Te Li
2 1 1
direct
0.000 0.000 0.754
0.000 0.000 0.246
0.500 0.500 0.500
0.500 0.500 0.000
```

Symmetry: P4/mmm (123)


B) A relaxed LiHo2Te crystal, computed with PBE.

POSCAR file:
```
LiHo2Te
1.0
3.828 0.000 0.000
1.914 3.315 0.000
1.914 1.105 10.665
Li Ho Te
1 2 1
direct
0.000 0.000 0.000
0.103 0.103 0.692
0.897 0.897 0.308
0.500 0.500 0.500
```

Symmetry: R-3m (166)


Which one sits at the top of the stability order? A) does.


A) A relaxed LiHo2Th crystal, computed with PBE.

POSCAR file:
```
LiHo2Th
1.0
-0.182 -2.748 2.123
2.876 -1.799 0.766
2.748 5.218 9.837
Ho Th Li
2 1 1
direct
0.081 0.081 0.758
0.253 0.253 0.242
0.500 0.500 0.499
0.666 0.666 0.001
```

Symmetry: R3m (160)


B) A relaxed LiHo2Th crystal, computed with PBE.

POSCAR file:
```
LiHo2Th
1.0
3.620 0.000 0.000
0.000 3.620 0.000
0.000 0.000 8.644
Li Th Ho
1 1 2
direct
0.500 0.500 0.000
0.500 0.500 0.500
0.000 0.000 0.229
0.000 0.000 0.771
```

Symmetry: P4/mmm (123)


C) A relaxed LiHo2Th crystal, computed with PBE.

POSCAR file:
```
LiHo2Th
1.0
-1.140 3.216 -0.803
-1.477 0.608 -3.120
-11.549 -1.380 3.228
Th Ho Li
1 2 1
direct
0.500 0.500 0.500
0.910 0.910 0.269
0.090 0.090 0.731
0.000 0.000 0.000
```

Symmetry: R-3m (166)


Which one sits at the top of the stability order? B) does.


A) A relaxed LiHo2Ti crystal, computed with PBE.

POSCAR file:
```
LiHo2Ti
1.0
3.410 0.000 0.000
0.000 3.410 0.000
0.000 0.000 8.494
Ti Li Ho
1 1 2
direct
0.500 0.500 0.000
0.500 0.500 0.500
0.000 0.000 0.766
0.000 0.000 0.234
```

Symmetry: P4/mmm (123)


B) A relaxed LiHo2Ti crystal, computed with PBE.

POSCAR file:
```
LiHo2Ti
1.0
3.211 0.000 0.000
1.605 2.780 0.000
1.605 0.927 11.427
Ti Li Ho
1 1 2
direct
0.000 0.000 0.000
0.500 0.500 0.500
0.915 0.915 0.255
0.085 0.085 0.745
```

Symmetry: R-3m (166)


Which one sits at the top of the stability order? A) does.


A) A relaxed Li3Ho2Tl4 crystal, computed with PBE.

POSCAR file:
```
Li3Ho2Tl4
1.0
4.944 0.001 0.001
2.472 4.588 0.633
-0.002 0.647 9.363
Tl Li Ho
4 3 2
direct
0.073 0.855 0.371
0.927 0.145 0.629
0.641 0.718 0.895
0.359 0.282 0.105
0.620 0.760 0.585
0.000 0.000 0.000
0.380 0.240 0.415
0.710 0.580 0.240
0.290 0.420 0.760
```

Symmetry: C2/m (12)


B) A relaxed Li3Ho2Tl4 crystal, computed with PBE.

POSCAR file:
```
Li3Ho2Tl4
1.0
-3.738 -4.042 -3.359
2.554 -6.089 4.485
-4.185 3.306 6.871
Ho Li Tl
4 6 8
direct
0.391 0.083 0.782
0.109 0.583 0.218
0.609 0.917 0.218
0.891 0.417 0.782
0.522 0.750 0.544
0.022 0.750 0.544
0.978 0.250 0.456
0.478 0.250 0.456
0.500 0.500 0.000
0.000 0.000 0.000
0.825 0.034 0.651
0.802 0.250 0.104
0.198 0.750 0.896
0.302 0.250 0.104
0.325 0.466 0.651
0.675 0.534 0.349
0.175 0.966 0.349
0.698 0.750 0.896
```

Symmetry: Cmce (64)


Which one sits at the top of the stability order? A) does.


A) A relaxed LiHoTl2 crystal, computed with PBE.

POSCAR file:
```
LiHoTl2
1.0
-1.411 2.835 -1.675
-3.515 0.652 0.234
-0.168 6.379 7.109
Ho Li Tl
1 1 2
direct
0.667 0.667 0.000
0.500 0.500 0.501
0.091 0.091 0.726
0.242 0.242 0.273
```

Symmetry: R3m (160)


B) A relaxed LiHoTl2 crystal, computed with PBE.

POSCAR file:
```
LiHoTl2
1.0
3.590 0.000 0.000
0.000 3.590 0.000
0.000 0.000 7.387
Li Tl Ho
1 2 1
direct
0.500 0.500 0.000
0.000 0.000 0.218
0.000 0.000 0.782
0.500 0.500 0.500
```

Symmetry: P4/mmm (123)


C) A relaxed LiHoTl2 crystal, computed with PBE.

POSCAR file:
```
LiHoTl2
1.0
-3.822 -0.274 0.250
0.418 -4.974 0.934
0.258 0.957 4.981
Ho Li Tl
1 1 2
direct
0.500 0.500 0.500
0.500 0.000 0.000
0.000 0.000 0.500
0.000 0.500 0.000
```

Symmetry: P4/mmm (123)


Which one sits at the top of the stability order? C) does.


A) A relaxed LiHo4Tl2 crystal, computed with PBE.

POSCAR file:
```
LiHo4Tl2
1.0
-5.335 -2.759 -3.582
3.881 -5.054 -1.888
0.910 -2.657 8.984
Ho Tl Li
8 4 2
direct
0.984 0.250 0.523
0.541 0.494 0.220
0.054 0.750 0.872
0.541 0.006 0.220
0.459 0.994 0.780
0.016 0.750 0.477
0.946 0.250 0.128
0.459 0.506 0.780
0.612 0.750 0.545
0.388 0.250 0.455
0.203 0.250 0.921
0.797 0.750 0.079
0.218 0.750 0.268
0.782 0.250 0.732
```

Symmetry: P2_1/m (11)


B) A relaxed LiHo4Tl2 crystal, computed with PBE.

POSCAR file:
```
LiHo4Tl2
1.0
4.999 0.000 1.562
2.256 4.461 1.562
-0.010 -0.006 8.812
Tl Ho Li
2 4 1
direct
0.258 0.258 0.225
0.742 0.742 0.775
0.868 0.868 0.395
0.132 0.132 0.605
0.386 0.386 0.842
0.614 0.614 0.158
0.000 0.000 0.000
```

Symmetry: R-3m (166)


Which one sits at the top of the stability order? B) does.